PaAl6Pt3 after structural relaxation, computed with PBE.

Cell lengths 8.449, 4.294, 9.668 Å; angles 90.00, 94.37, 90.00 degrees
Space group P2_1/m (No. 11)
Inequivalent atoms, fractional coordinates:
Pa1 0.050 0.250 0.300 (multiplicity 2)
Al1 0.120 0.750 0.031 (multiplicity 2)
Al2 0.182 0.250 0.617 (multiplicity 2)
Al3 0.300 0.750 0.266 (multiplicity 2)
Al4 0.317 0.750 0.782 (multiplicity 2)
Al5 0.427 0.250 0.426 (multiplicity 2)
Al6 0.470 0.250 0.912 (multiplicity 2)
Pt1 0.166 0.250 0.882 (multiplicity 2)
Pt2 0.272 0.750 0.516 (multiplicity 2)
Pt3 0.380 0.250 0.154 (multiplicity 2)

**Total DFT energy (no corrections)**: -5.8135 eV/atom
**DOS at the Fermi energy**: 0.47 states/eV/atom

Pa3Al2Pt4 after structural relaxation, computed with PBE.

Cell lengths 10.923, 4.413, 8.468 Å; angles 90.00, 119.06, 90.00 degrees
Space group C2/m (No. 12)
Inequivalent atoms, fractional coordinates:
Pa1 0.000 0.000 0.000 (multiplicity 2)
Pa2 0.129 0.500 0.683 (multiplicity 4)
Al1 0.169 0.500 0.340 (multiplicity 4)
Pt1 0.073 0.000 0.390 (multiplicity 4)
Pt2 0.210 0.500 0.072 (multiplicity 4)

**Total DFT energy (no corrections)**: -7.6745 eV/atom
**DOS at the Fermi energy**: 1.13 states/eV/atom

Pa2AlPt4 after structural relaxation, computed with PBE.

Cell lengths 8.452, 5.412, 7.752 Å; angles 90.00, 122.02, 90.00 degrees
Space group C2/m (No. 12)
Inequivalent atoms, fractional coordinates:
Pa1 0.123 0.000 0.277 (multiplicity 4)
Al1 0.000 0.500 0.000 (multiplicity 2)
Pt1 0.044 0.500 0.355 (multiplicity 4)
Pt2 0.250 0.250 0.000 (multiplicity 4)

**Total DFT energy (no corrections)**: -7.5226 eV/atom
**DOS at the Fermi energy**: 1.23 states/eV/atom

PaAl2Pt after structural relaxation, computed with PBE.

Cell lengths 3.134, 3.134, 7.385 Å; angles 90.00, 90.00, 90.00 degrees
Space group P4/mmm (No. 123)
Inequivalent atoms, fractional coordinates:
Pa1 0.000 0.000 0.000 (multiplicity 1)
Al1 0.500 0.500 0.301 (multiplicity 2)
Pt1 0.000 0.000 0.500 (multiplicity 1)

**Relative energy among the computed polymorphs**: 23 meV per atom
**DOS at the Fermi energy**: 1.13 states/eV/atom

PaAl2Pt after structural relaxation, computed with PBE.

Cell lengths 4.2274, 4.2274, 15.2007 Å; angles 90.00, 90.00, 120.00 degrees
Space group R-3m (No. 166, hexagonal axes)
Inequivalent atoms, fractional coordinates:
Pa1 0.0000 0.0000 0.0000 (multiplicity 3)
Al1 0.0000 0.0000 0.2127 (multiplicity 6)
Pt1 0.0000 0.0000 0.5000 (multiplicity 3)

**Relative energy among the computed polymorphs**: 0 meV per atom
**DOS at the Fermi energy**: 1.19 states/eV/atom

Pa3Al7Pt4 after structural relaxation, computed with PBE.

Cell lengths 15.664, 4.243, 9.467 Å; angles 90.00, 124.70, 90.00 degrees
Space group C2/m (No. 12)
Inequivalent atoms, fractional coordinates:
Pa1 0.000 0.000 0.000 (multiplicity 2)
Pa2 0.189 0.500 0.690 (multiplicity 4)
Al1 0.000 0.000 0.500 (multiplicity 2)
Al2 0.004 0.500 0.295 (multiplicity 4)
Al3 0.158 0.000 0.429 (multiplicity 4)
Al4 0.180 0.500 0.026 (multiplicity 4)
Pt1 0.121 0.000 0.844 (multiplicity 4)
Pt2 0.154 0.500 0.268 (multiplicity 4)

**Total DFT energy (no corrections)**: -6.4735 eV/atom
**DOS at the Fermi energy**: 1.01 states/eV/atom

ScPaAl2Pt2 after structural relaxation, computed with PBE.

Cell lengths 4.4369, 4.4369, 6.5934 Å; angles 90.00, 90.00, 120.00 degrees
Space group P-3m1 (No. 164)
Inequivalent atoms, fractional coordinates:
Sc1 0.0000 0.0000 0.0000 (multiplicity 1)
Pa1 0.0000 0.0000 0.5000 (multiplicity 1)
Al1 0.3333 0.6667 0.2071 (multiplicity 2)
Pt1 0.3333 0.6667 0.7620 (multiplicity 2)

**Total DFT energy (no corrections)**: -6.8573 eV/atom
**DOS at the Fermi energy**: 0.98 states/eV/atom

Pa2AlSi3Pt4 after structural relaxation, computed with PBE.

Cell lengths 4.210, 4.210, 9.970 Å; angles 90.00, 90.00, 90.00 degrees
Space group P-4m2 (No. 115)
Inequivalent atoms, fractional coordinates:
Pa1 0.000 0.500 0.248 (multiplicity 2)
Al1 0.000 0.000 0.500 (multiplicity 1)
Si1 0.000 0.500 0.869 (multiplicity 2)
Si2 0.500 0.500 0.500 (multiplicity 1)
Pt1 0.000 0.000 0.000 (multiplicity 1)
Pt2 0.000 0.500 0.633 (multiplicity 2)
Pt3 0.500 0.500 0.000 (multiplicity 1)

**DOS at the Fermi energy**: 0.60 states/eV/atom
**Raw formation energy**: -0.983 eV/atom

Pa2AlSi4Pt3 after structural relaxation, computed with PBE.

Cell lengths 4.199, 4.199, 9.923 Å; angles 90.00, 90.00, 90.00 degrees
Space group P-4m2 (No. 115)
Inequivalent atoms, fractional coordinates:
Pa1 0.000 0.500 0.249 (multiplicity 2)
Al1 0.000 0.000 0.500 (multiplicity 1)
Si1 0.000 0.000 0.000 (multiplicity 1)
Si2 0.000 0.500 0.640 (multiplicity 2)
Si3 0.500 0.500 0.000 (multiplicity 1)
Pt1 0.000 0.500 0.880 (multiplicity 2)
Pt2 0.500 0.500 0.500 (multiplicity 1)

**DOS at the Fermi energy**: 0.79 states/eV/atom
**Raw formation energy**: -0.834 eV/atom

Pa2AlSiPt6 after structural relaxation, computed with PBE.

Cell lengths 5.583, 5.594, 8.126 Å; angles 90.03, 110.03, 119.91 degrees
Space group P-1 (No. 2)
Inequivalent atoms, fractional coordinates:
Pa1 0.092 0.296 0.386 (multiplicity 2)
Al1 0.500 0.000 0.500 (multiplicity 1)
Si1 0.500 0.500 0.000 (multiplicity 1)
Pt1 0.006 0.253 0.759 (multiplicity 2)
Pt2 0.496 0.249 0.241 (multiplicity 2)
Pt3 0.497 0.748 0.242 (multiplicity 2)

**DOS at the Fermi energy**: 0.99 states/eV/atom
**Raw formation energy**: -0.767 eV/atom

PaAlTcPt after structural relaxation, computed with PBE.

Cell lengths 6.642, 6.642, 6.642 Å; angles 90.00, 90.00, 90.00 degrees
Space group F-43m (No. 216)
Inequivalent atoms, fractional coordinates:
Pa1 0.000 0.000 0.000 (multiplicity 4)
Al1 0.000 0.000 0.500 (multiplicity 4)
Tc1 0.250 0.250 0.250 (multiplicity 4)
Pt1 0.250 0.250 0.750 (multiplicity 4)

**Total DFT energy (no corrections)**: -7.9026 eV/atom
**DOS at the Fermi energy**: 1.30 states/eV/atom

Pa2Al4ZnPt3 after structural relaxation, computed with PBE.

Cell lengths 4.172, 4.172, 10.585 Å; angles 90.00, 90.00, 90.00 degrees
Space group P-4m2 (No. 115)
Inequivalent atoms, fractional coordinates:
Pa1 0.000 0.500 0.247 (multiplicity 2)
Al1 0.000 0.000 0.000 (multiplicity 1)
Al2 0.000 0.500 0.632 (multiplicity 2)
Al3 0.500 0.500 0.000 (multiplicity 1)
Zn1 0.000 0.000 0.500 (multiplicity 1)
Pt1 0.000 0.500 0.862 (multiplicity 2)
Pt2 0.500 0.500 0.500 (multiplicity 1)

**Total DFT energy (no corrections)**: -6.1437 eV/atom
**DOS at the Fermi energy**: 0.68 states/eV/atom

Pa2Al3ZnPt4 after structural relaxation, computed with PBE.

Cell lengths 4.085, 4.085, 10.981 Å; angles 90.00, 90.00, 90.00 degrees
Space group P-4m2 (No. 115)
Inequivalent atoms, fractional coordinates:
Pa1 0.000 0.500 0.245 (multiplicity 2)
Al1 0.000 0.000 0.000 (multiplicity 1)
Al2 0.000 0.500 0.630 (multiplicity 2)
Zn1 0.500 0.500 0.000 (multiplicity 1)
Pt1 0.000 0.000 0.500 (multiplicity 1)
Pt2 0.000 0.500 0.852 (multiplicity 2)
Pt3 0.500 0.500 0.500 (multiplicity 1)

**Total DFT energy (no corrections)**: -6.4375 eV/atom
**DOS at the Fermi energy**: 0.84 states/eV/atom

PaAl2ZnPt4 after structural relaxation, computed with PBE.

Cell lengths 4.2823, 4.2823, 25.6291 Å; angles 90.00, 90.00, 120.00 degrees
Space group R-3m (No. 166, hexagonal axes)
Inequivalent atoms, fractional coordinates:
Pa1 0.0000 0.0000 0.0000 (multiplicity 3)
Al1 0.0000 0.0000 0.2386 (multiplicity 6)
Zn1 0.0000 0.0000 0.5000 (multiplicity 3)
Pt1 0.0000 0.0000 0.1307 (multiplicity 6)
Pt2 0.0000 0.0000 0.3972 (multiplicity 6)

**Total DFT energy (no corrections)**: -6.2220 eV/atom
**DOS at the Fermi energy**: 0.47 states/eV/atom

PaAlZnPt after structural relaxation, computed with PBE.

Cell lengths 6.713, 6.713, 6.713 Å; angles 90.00, 90.00, 90.00 degrees
Space group F-43m (No. 216)
Inequivalent atoms, fractional coordinates:
Pa1 0.000 0.000 0.000 (multiplicity 4)
Al1 0.000 0.000 0.500 (multiplicity 4)
Zn1 0.250 0.250 0.750 (multiplicity 4)
Pt1 0.250 0.250 0.250 (multiplicity 4)

**Total DFT energy (no corrections)**: -5.6874 eV/atom
**DOS at the Fermi energy**: 0.64 states/eV/atom

PaAlZnPt3 after structural relaxation, computed with PBE.

Cell lengths 6.656, 11.831, 5.694 Å; angles 90.00, 90.00, 90.00 degrees
Space group Cmcm (No. 63)
Inequivalent atoms, fractional coordinates:
Pa1 0.000 0.197 0.250 (multiplicity 4)
Al1 0.000 0.128 0.750 (multiplicity 4)
Zn1 0.000 0.441 0.250 (multiplicity 4)
Pt1 0.000 0.328 0.750 (multiplicity 4)
Pt2 0.209 0.000 0.000 (multiplicity 8)

**Total DFT energy (no corrections)**: -6.0167 eV/atom
**DOS at the Fermi energy**: 0.60 states/eV/atom

PuPa3Al8 after structural relaxation, computed with PBE.

Cell lengths 5.5744, 5.5744, 8.7309 Å; angles 90.00, 90.00, 120.00 degrees
Space group P3m1 (No. 156)
Inequivalent atoms, fractional coordinates:
Pu1 0.0000 0.0000 0.0000 (multiplicity 1)
Pa1 0.0000 0.0000 0.3295 (multiplicity 1)
Pa2 0.6667 0.3333 0.4994 (multiplicity 1)
Pa3 0.6667 0.3333 0.8334 (multiplicity 1)
Al1 0.1603 0.3207 0.6647 (multiplicity 3)
Al2 0.3333 0.6667 0.4143 (multiplicity 1)
Al3 0.3333 0.6667 0.9157 (multiplicity 1)
Al4 0.5061 0.0123 0.1653 (multiplicity 3)

**Total DFT energy (no corrections)**: -6.4009 eV/atom
**DOS at the Fermi energy**: 1.16 states/eV/atom

PuPa3Al after structural relaxation, computed with PBE.

Cell lengths 5.926, 6.549, 6.182 Å; angles 90.00, 100.36, 90.00 degrees
Space group P2_1/m (No. 11)
Inequivalent atoms, fractional coordinates:
Pu1 0.015 0.250 0.312 (multiplicity 2)
Pa1 0.157 0.750 0.103 (multiplicity 2)
Pa2 0.292 0.008 0.623 (multiplicity 4)
Al1 0.364 0.250 0.057 (multiplicity 2)

**Total DFT energy (no corrections)**: -9.1997 eV/atom
**DOS at the Fermi energy**: 1.84 states/eV/atom

PuPa2Al after structural relaxation, computed with PBE.

Cell lengths 3.748, 3.748, 6.443 Å; angles 90.00, 90.00, 90.00 degrees
Space group P4/mmm (No. 123)
Inequivalent atoms, fractional coordinates:
Pu1 0.000 0.000 0.000 (multiplicity 1)
Pa1 0.500 0.500 0.248 (multiplicity 2)
Al1 0.000 0.000 0.500 (multiplicity 1)

**Relative energy among the computed polymorphs**: 130 meV per atom
**DOS at the Fermi energy**: 2.38 states/eV/atom

PuPa2Al after structural relaxation, computed with PBE.

Cell lengths 3.5523, 3.5523, 24.2132 Å; angles 90.00, 90.00, 120.00 degrees
Space group R-3m (No. 166, hexagonal axes)
Inequivalent atoms, fractional coordinates:
Pu1 0.0000 0.0000 0.0000 (multiplicity 3)
Pa1 0.0000 0.0000 0.2645 (multiplicity 6)
Al1 0.0000 0.0000 0.5000 (multiplicity 3)

**Relative energy among the computed polymorphs**: 399 meV per atom
**DOS at the Fermi energy**: 1.96 states/eV/atom

PuPaAl6 after structural relaxation, computed with PBE.

Cell lengths 6.2196, 6.2196, 4.6513 Å; angles 90.00, 90.00, 120.00 degrees
Space group P-6m2 (No. 187)
Inequivalent atoms, fractional coordinates:
Pu1 0.0000 0.0000 0.0000 (multiplicity 1)
Pa1 0.6667 0.3333 0.5000 (multiplicity 1)
Al1 0.0335 0.5167 0.0000 (multiplicity 3)
Al2 0.1815 0.3631 0.5000 (multiplicity 3)

**Total DFT energy (no corrections)**: -6.0718 eV/atom
**DOS at the Fermi energy**: 1.09 states/eV/atom

PuPa2Al after structural relaxation, computed with PBE.

Cell lengths 7.120, 7.120, 7.120 Å; angles 90.00, 90.00, 90.00 degrees
Space group Fm-3m (No. 225)
Inequivalent atoms, fractional coordinates:
Pu1 0.000 0.000 0.000 (multiplicity 4)
Pa1 0.250 0.250 0.250 (multiplicity 8)
Al1 0.000 0.000 0.500 (multiplicity 4)

**Relative energy among the computed polymorphs**: 66 meV per atom
**DOS at the Fermi energy**: 1.85 states/eV/atom

PuPaAl after structural relaxation, computed with PBE.

Cell lengths 4.3013, 4.3013, 24.9043 Å; angles 90.00, 90.00, 120.00 degrees
Space group R-3m (No. 166, hexagonal axes)
Inequivalent atoms, fractional coordinates:
Pu1 0.0000 0.0000 0.0764 (multiplicity 6)
Pa1 0.0000 0.0000 0.2089 (multiplicity 6)
Al1 0.0000 0.0000 0.3382 (multiplicity 6)

**Relative energy among the computed polymorphs**: 274 meV per atom
**DOS at the Fermi energy**: 1.73 states/eV/atom

Pu3PaAl8 after structural relaxation, computed with PBE.

Cell lengths 5.5875, 5.5875, 8.6933 Å; angles 90.00, 90.00, 120.00 degrees
Space group P3m1 (No. 156)
Inequivalent atoms, fractional coordinates:
Pu1 0.0000 0.0000 0.0000 (multiplicity 1)
Pu2 0.0000 0.0000 0.3501 (multiplicity 1)
Pu3 0.3333 0.6667 0.8388 (multiplicity 1)
Pa1 0.3333 0.6667 0.5075 (multiplicity 1)
Al1 0.0129 0.5065 0.1743 (multiplicity 3)
Al2 0.3205 0.1602 0.6756 (multiplicity 3)
Al3 0.6667 0.3333 0.4244 (multiplicity 1)
Al4 0.6667 0.3333 0.9252 (multiplicity 1)

**Relative energy among the computed polymorphs**: 19 meV per atom
**DOS at the Fermi energy**: 2.08 states/eV/atom